No. 1
Computed, not measured: crystalline Y2AgTeO6 at its relaxed geometry at the PBE level of DFT.

Geometry as POSCAR:
```
Y2AgTeO6
1.0
5.795 0.000 0.000
2.898 5.019 0.000
2.897 1.673 5.163
Y Ag Te O
2 1 1 6
Cartesian
5.795 3.346 2.157 Y
2.897 1.673 4.948 Y
8.693 5.019 3.372 Ag
2.898 1.673 0.160 Te
4.742 1.610 1.139 O
4.819 5.126 1.139 O
7.825 3.302 1.139 O
6.432 4.773 3.947 O
6.712 2.081 3.947 O
4.241 3.184 3.947 O
```

energy relative to the elements, uncorrected: -2.072 eV/atom
size of the total moment: 0.027 μB per atom
volume: 15.02 Å³/atom
crystal system: trigonal

No. 2
Computed, not measured: crystalline ZnAg2TeO at its relaxed geometry at the PBE level of DFT.

Geometry as POSCAR:
```
ZnAg2TeO
1.0
4.943 0.000 0.000
0.000 4.987 0.000
0.000 0.000 4.943
Zn Te O Ag
1 1 1 2
Cartesian
0.000 0.000 0.000 Zn
0.000 2.494 0.000 Te
2.472 2.494 2.472 O
0.000 0.000 2.472 Ag
2.472 0.000 0.000 Ag
```

energy relative to the elements, uncorrected: 0.867 eV/atom
size of the total moment: 0.000 μB per atom
volume: 24.37 Å³/atom
crystal system: tetragonal

No. 3
Computed, not measured: crystalline Zr2AgTeO8 at its relaxed geometry at the PBE level of DFT.

Geometry as POSCAR:
```
Zr2AgTeO8
1.0
-2.955 3.797 -0.139
-0.122 0.022 4.813
5.376 4.060 0.222
Zr Ag Te O
2 1 1 8
Cartesian
2.479 4.926 2.517 Zr
-0.180 2.953 2.378 Zr
2.688 2.030 0.111 Ag
0.000 0.000 0.000 Te
0.406 1.613 3.861 O
-2.183 2.710 3.314 O
-1.271 3.945 0.847 O
1.894 6.266 1.034 O
4.483 5.169 1.581 O
3.570 3.934 4.048 O
0.579 4.648 3.314 O
1.720 3.231 1.581 O
```

energy relative to the elements, uncorrected: -1.935 eV/atom
size of the total moment: 0.000 μB per atom
volume: 13.02 Å³/atom
crystal system: monoclinic

Repeat the second record exactly.
Computed, not measured: crystalline ZnAg2TeO at its relaxed geometry at the PBE level of DFT.

Geometry as POSCAR:
```
ZnAg2TeO
1.0
4.943 0.000 0.000
0.000 4.987 0.000
0.000 0.000 4.943
Zn Te O Ag
1 1 1 2
Cartesian
0.000 0.000 0.000 Zn
0.000 2.494 0.000 Te
2.472 2.494 2.472 O
0.000 0.000 2.472 Ag
2.472 0.000 0.000 Ag
```

energy relative to the elements, uncorrected: 0.867 eV/atom
size of the total moment: 0.000 μB per atom
volume: 24.37 Å³/atom
crystal system: tetragonal